ReIr2Au | PBE | relaxed

Calculated values
The polymorph energy (0 for the lowest one) comes out at 201 kJ/mol of formula units. The calculation puts the total magnetic moment at 0.4 μB per formula unit. Its formation energy is 0.518 eV/atom.

Cell and atoms, written as CIF:
```
data_ReIr2Au
_chemical_formula_sum 'Re1 Ir2 Au1'
_cell_length_a 4.763
_cell_length_b 4.763
_cell_length_c 2.769
_cell_angle_alpha 90.00
_cell_angle_beta 90.00
_cell_angle_gamma 90.00
_space_group_name_H-M_alt 'P 4/m m m'
_space_group_IT_number 123
_space_group_name_Hall '-P 4 2'
loop_
_atom_site_label
_atom_site_fract_x
_atom_site_fract_y
_atom_site_fract_z
Re1 0.000 0.000 0.000
Ir1 0.000 0.500 0.500
Au1 0.500 0.500 0.000
```

***

Re2IrAu | PBE | relaxed

Calculated values
The polymorph energy (0 for the lowest one) comes out at 40 kJ/mol of formula units. The calculation puts the total magnetic moment at 0.0 μB per formula unit. Its formation energy is 0.251 eV/atom.

Cell and atoms, written as CIF:
```
data_Re2IrAu
_chemical_formula_sum 'Re2 Ir1 Au1'
_cell_length_a 2.741
_cell_length_b 2.741
_cell_length_c 8.190
_cell_angle_alpha 90.00
_cell_angle_beta 90.00
_cell_angle_gamma 90.00
_space_group_name_H-M_alt 'P 4/m m m'
_space_group_IT_number 123
_space_group_name_Hall '-P 4 2'
loop_
_atom_site_label
_atom_site_fract_x
_atom_site_fract_y
_atom_site_fract_z
Re1 0.000 0.000 0.238
Ir1 0.500 0.500 0.000
Au1 0.500 0.500 0.500
```

***

ReIr2Au | PBE | relaxed

Calculated values
The polymorph energy (0 for the lowest one) comes out at 67 kJ/mol of formula units. The calculation puts the total magnetic moment at 0.3 μB per formula unit. Its formation energy is 0.171 eV/atom.

Cell and atoms, written as CIF:
```
data_ReIr2Au
_chemical_formula_sum 'Re3 Ir6 Au3'
_cell_length_a 2.7834
_cell_length_b 2.7834
_cell_length_c 27.6272
_cell_angle_alpha 90.00
_cell_angle_beta 90.00
_cell_angle_gamma 120.00
_space_group_name_H-M_alt 'R 3 m'
_space_group_IT_number 160
_space_group_name_Hall 'R 3 -2"'
loop_
_atom_site_label
_atom_site_fract_x
_atom_site_fract_y
_atom_site_fract_z
Re1 0.0000 0.0000 0.0000
Ir1 0.0000 0.0000 0.4912
Ir2 0.0000 0.0000 0.7427
Au1 0.0000 0.0000 0.2453
```

***

Re2IrAu | PBE | relaxed

Calculated values
The polymorph energy (0 for the lowest one) comes out at 174 kJ/mol of formula units. The calculation puts the total magnetic moment at 0.0 μB per formula unit. Its formation energy is 0.599 eV/atom.

Cell and atoms, written as CIF:
```
data_Re2IrAu
_chemical_formula_sum 'Re2 Ir1 Au1'
_cell_length_a 4.772
_cell_length_b 4.772
_cell_length_c 2.755
_cell_angle_alpha 90.00
_cell_angle_beta 90.00
_cell_angle_gamma 90.00
_space_group_name_H-M_alt 'P 4/m m m'
_space_group_IT_number 123
_space_group_name_Hall '-P 4 2'
loop_
_atom_site_label
_atom_site_fract_x
_atom_site_fract_y
_atom_site_fract_z
Re1 0.000 0.500 0.000
Ir1 0.000 0.000 0.500
Au1 0.500 0.500 0.500
```

***

Re2IrAu | PBE | relaxed

Calculated values
The polymorph energy (0 for the lowest one) comes out at 54 kJ/mol of formula units. The calculation puts the total magnetic moment at 0.0 μB per formula unit. Its formation energy is 0.288 eV/atom.

Cell and atoms, written as CIF:
```
data_Re2IrAu
_chemical_formula_sum 'Re4 Ir2 Au2'
_cell_length_a 9.345
_cell_length_b 2.797
_cell_length_c 4.787
_cell_angle_alpha 90.00
_cell_angle_beta 100.16
_cell_angle_gamma 90.00
_space_group_name_H-M_alt 'C 1 2/m 1'
_space_group_IT_number 12
loop_
_space_group_symop_operation_xyz
'x,y,z'
'-x,-y,-z'
'-x,y,-z'
'x,-y,z'
'x+1/2,y+1/2,z'
'-x+1/2,-y+1/2,-z'
'-x+1/2,y+1/2,-z'
'x+1/2,-y+1/2,z'
loop_
_atom_site_label
_atom_site_fract_x
_atom_site_fract_y
_atom_site_fract_z
Re1 0.243 0.000 0.237
Ir1 0.000 0.500 0.000
Au1 0.000 0.000 0.500
```

***

Sr2ReIrAu | PBE | relaxed

Calculated values
The calculation puts the total magnetic moment at 1.3 μB per formula unit. Its formation energy is 1.343 eV/atom.

Cell and atoms, written as CIF:
```
data_Sr2ReIrAu
_chemical_formula_sum 'Sr2 Re1 Ir1 Au1'
_cell_length_a 5.716
_cell_length_b 5.716
_cell_length_c 4.873
_cell_angle_alpha 90.00
_cell_angle_beta 90.00
_cell_angle_gamma 90.00
_space_group_name_H-M_alt 'P 4/m m m'
_space_group_IT_number 123
_space_group_name_Hall '-P 4 2'
loop_
_atom_site_label
_atom_site_fract_x
_atom_site_fract_y
_atom_site_fract_z
Sr1 0.000 0.500 0.000
Re1 0.000 0.000 0.000
Ir1 0.500 0.500 0.500
Au1 0.000 0.000 0.500
```

***

ReTe2IrAu | PBE | relaxed

Calculated values
As for the uncorrected formation energy: 586.4 kJ/mol of formula units. The calculation puts the total magnetic moment at 0.0 μB per formula unit.

Cell and atoms, written as CIF:
```
data_ReTe2IrAu
_chemical_formula_sum 'Re1 Te2 Ir1 Au1'
_cell_length_a 5.121
_cell_length_b 5.121
_cell_length_c 4.873
_cell_angle_alpha 90.00
_cell_angle_beta 90.00
_cell_angle_gamma 90.00
_space_group_name_H-M_alt 'P 4/m m m'
_space_group_IT_number 123
_space_group_name_Hall '-P 4 2'
loop_
_atom_site_label
_atom_site_fract_x
_atom_site_fract_y
_atom_site_fract_z
Re1 0.000 0.000 0.000
Te1 0.000 0.500 0.000
Ir1 0.000 0.000 0.500
Au1 0.500 0.500 0.500
```

***

Ir2RhAu | PBE | relaxed

Calculated values
The polymorph energy (0 for the lowest one) comes out at 41 kJ/mol of formula units. The calculation puts the total magnetic moment at 0.0 μB per formula unit. Its formation energy is 0.236 eV/atom.

Cell and atoms, written as CIF:
```
data_Ir2RhAu
_chemical_formula_sum 'Ir4 Rh2 Au2'
_cell_length_a 9.154
_cell_length_b 2.794
_cell_length_c 4.850
_cell_angle_alpha 90.00
_cell_angle_beta 100.17
_cell_angle_gamma 90.00
_space_group_name_H-M_alt 'C 1 m 1'
_space_group_IT_number 8
loop_
_space_group_symop_operation_xyz
'x,y,z'
'x,-y,z'
'x+1/2,y+1/2,z'
'x+1/2,-y+1/2,z'
loop_
_atom_site_label
_atom_site_fract_x
_atom_site_fract_y
_atom_site_fract_z
Ir1 0.000 0.000 0.000
Ir2 0.242 0.500 0.222
Rh1 0.488 0.000 0.472
Au1 0.244 0.000 0.725
```

***

IrRh2Au | PBE | relaxed

Calculated values
The polymorph energy (0 for the lowest one) comes out at 145 kJ/mol of formula units. The calculation puts the total magnetic moment at 0.4 μB per formula unit. Its formation energy is 0.442 eV/atom.

Cell and atoms, written as CIF:
```
data_IrRh2Au
_chemical_formula_sum 'Ir4 Rh8 Au4'
_cell_length_a 6.276
_cell_length_b 6.276
_cell_length_c 6.276
_cell_angle_alpha 90.00
_cell_angle_beta 90.00
_cell_angle_gamma 90.00
_space_group_name_H-M_alt 'F -4 3 m'
_space_group_IT_number 216
_space_group_name_Hall 'F -4 2 3'
loop_
_atom_site_label
_atom_site_fract_x
_atom_site_fract_y
_atom_site_fract_z
Ir1 0.000 0.000 0.000
Rh1 0.000 0.000 0.500
Rh2 0.250 0.250 0.750
Au1 0.250 0.250 0.250
```

***

Ir2RhAu | PBE | relaxed

Calculated values
The polymorph energy (0 for the lowest one) comes out at 60 kJ/mol of formula units. The calculation puts the total magnetic moment at 0.0 μB per formula unit. Its formation energy is 0.284 eV/atom.

Cell and atoms, written as CIF:
```
data_Ir2RhAu
_chemical_formula_sum 'Ir4 Rh2 Au2'
_cell_length_a 3.927
_cell_length_b 3.927
_cell_length_c 7.899
_cell_angle_alpha 90.00
_cell_angle_beta 90.00
_cell_angle_gamma 90.00
_space_group_name_H-M_alt 'I 4/m m m'
_space_group_IT_number 139
_space_group_name_Hall '-I 4 2'
loop_
_atom_site_label
_atom_site_fract_x
_atom_site_fract_y
_atom_site_fract_z
Ir1 0.000 0.500 0.250
Rh1 0.000 0.000 0.000
Au1 0.000 0.000 0.500
```

***

Ir2Rh2Au | PBE | relaxed

Calculated values
The polymorph energy (0 for the lowest one) comes out at 26 kJ/mol of formula units. The calculation puts the total magnetic moment at 0.0 μB per formula unit. Its formation energy is 0.343 eV/atom.

Cell and atoms, written as CIF:
```
data_Ir2Rh2Au
_chemical_formula_sum 'Ir4 Rh4 Au2'
_cell_length_a 7.614
_cell_length_b 7.614
_cell_length_c 2.735
_cell_angle_alpha 90.00
_cell_angle_beta 90.00
_cell_angle_gamma 90.00
_space_group_name_H-M_alt 'P 4/m b m'
_space_group_IT_number 127
_space_group_name_Hall '-P 4 2ab'
loop_
_atom_site_label
_atom_site_fract_x
_atom_site_fract_y
_atom_site_fract_z
Ir1 0.173 0.327 0.000
Rh1 0.122 0.622 0.500
Au1 0.000 0.000 0.500
```

***

IrRh2Au | PBE | relaxed

Calculated values
The polymorph energy (0 for the lowest one) comes out at 51 kJ/mol of formula units. The calculation puts the total magnetic moment at 0.0 μB per formula unit. Its formation energy is 0.197 eV/atom.

Cell and atoms, written as CIF:
```
data_IrRh2Au
_chemical_formula_sum 'Ir1 Rh2 Au1'
_cell_length_a 2.779
_cell_length_b 3.849
_cell_length_c 5.689
_cell_angle_alpha 90.00
_cell_angle_beta 90.00
_cell_angle_gamma 90.00
_space_group_name_H-M_alt 'P m m 2'
_space_group_IT_number 25
loop_
_space_group_symop_operation_xyz
'x,y,z'
'-x,-y,z'
'-x,y,z'
'x,-y,z'
loop_
_atom_site_label
_atom_site_fract_x
_atom_site_fract_y
_atom_site_fract_z
Ir1 0.000 0.000 0.000
Rh1 0.000 0.000 0.468
Rh2 0.500 0.500 0.225
Au1 0.500 0.500 0.729
```